No. 1
LiHoScS3 | PBE | optimized geometry

Results
- uncorrected formation energy (eV per atom) = -1.753

Lattice parameters (Å, degrees): 7.6879 3.7062 8.1981 90.00 103.83 90.00
Fractional coordinates of all 12 atoms:
Li: 0.0925 0.2500 0.0883
Li: 0.9075 0.7500 0.9117
Ho: 0.1932 0.2500 0.7271
Ho: 0.8068 0.7500 0.2729
Sc: 0.3390 0.7500 0.3420
Sc: 0.6610 0.2500 0.6580
S: 0.0976 0.2500 0.3724
S: 0.2284 0.7500 0.9992
S: 0.4325 0.7500 0.6696
S: 0.5675 0.2500 0.3304
S: 0.7716 0.2500 0.0008
S: 0.9024 0.7500 0.6276

---

No. 2
Be2CoC | PBE | optimized geometry

Results
- formation energy from the elements (eV/atom) = 0.672

Lattice parameters (Å, degrees): 6.7086 6.7086 6.7086 152.12 152.12 39.84
Fractional coordinates of all 8 atoms:
Be: 0.0502 0.1250 0.4252
Be: 0.3750 0.9498 0.0748
Be: 0.6998 0.6250 0.5748
Be: 0.8750 0.3002 0.9252
Co: 0.2500 0.7500 0.5000
Co: 0.5000 0.5000 0.0000
C: 0.0000 0.0000 0.0000
C: 0.7500 0.2500 0.5000

---

No. 3
LaTb5NdSm2 | PBE | optimized geometry

Results
- formation energy from the elements (eV/atom) = 0.251

Lattice parameters (Å, degrees): 9.9938 9.9938 9.9938 127.78 127.78 76.98
Fractional coordinates of all 18 atoms:
La: 0.2500 0.2500 0.0000
La: 0.7500 0.7500 0.0000
Tb: 0.0000 0.0000 0.0000
Tb: 0.0712 0.5712 0.9119
Tb: 0.1593 0.0712 0.5000
Tb: 0.3407 0.8407 0.9119
Tb: 0.4288 0.3407 0.5000
Tb: 0.5000 0.5000 0.0000
Tb: 0.5712 0.6593 0.5000
Tb: 0.6593 0.1593 0.0881
Tb: 0.8407 0.9288 0.5000
Tb: 0.9288 0.4288 0.0881
Nd: 0.2500 0.7500 0.5000
Nd: 0.7500 0.2500 0.5000
Sm: 0.1175 0.3825 0.5000
Sm: 0.3825 0.8825 0.2651
Sm: 0.6175 0.1175 0.7349
Sm: 0.8825 0.6175 0.5000

---

No. 4
Ce7Al3 | PBE | optimized geometry

Results
- formation energy from the elements (eV/atom) = -0.077

Lattice parameters (Å, degrees): 10.4022 10.4022 5.4908 90.00 90.00 120.00
Fractional coordinates of all 20 atoms:
Ce: 0.0713 0.5356 0.0000
Ce: 0.1181 0.2361 0.1022
Ce: 0.1181 0.8819 0.1022
Ce: 0.2361 0.1181 0.6022
Ce: 0.3333 0.6667 0.2510
Ce: 0.4644 0.5356 0.0000
Ce: 0.4644 0.9287 0.0000
Ce: 0.5356 0.0713 0.5000
Ce: 0.5356 0.4644 0.5000
Ce: 0.6667 0.3333 0.7510
Ce: 0.7639 0.8819 0.1022
Ce: 0.8819 0.1181 0.6022
Ce: 0.8819 0.7639 0.6022
Ce: 0.9287 0.4644 0.5000
Al: 0.2039 0.4078 0.6054
Al: 0.2039 0.7961 0.6054
Al: 0.4078 0.2039 0.1054
Al: 0.5922 0.7961 0.6054
Al: 0.7961 0.2039 0.1054
Al: 0.7961 0.5922 0.1054

---

No. 5
La2PrN3 | PBE | optimized geometry

Results
- uncorrected formation energy (eV per atom) = -1.307

Lattice parameters (Å, degrees): 6.4683 6.4683 6.4683 146.44 131.94 59.89
Fractional coordinates of all 6 atoms:
La: 0.1662 0.1662 0.0000
La: 0.8338 0.8338 0.0000
Pr: 0.5000 0.5000 0.0000
N: 0.0000 0.5000 0.5000
N: 0.3352 0.8352 0.5000
N: 0.6648 0.1648 0.5000

---

No. 6
Zr2NbPbI | PBE | optimized geometry

Results
- uncorrected formation energy (eV per atom) = 1.028

Lattice parameters (Å, degrees): 5.2772 5.2772 5.0394 90.00 90.00 90.00
Fractional coordinates of all 5 atoms:
Zr: 0.0000 0.5000 0.0000
Zr: 0.5000 0.0000 0.0000
Nb: 0.0000 0.0000 0.5000
Pb: 0.5000 0.5000 0.5000
I: 0.0000 0.0000 0.0000

---

No. 7
Ho2ZrZn | PBE | optimized geometry

Results
- formation energy from the elements (eV/atom) = -0.133

Lattice parameters (Å, degrees): 3.4097 3.4097 8.4671 90.00 90.00 90.00
Fractional coordinates of all 4 atoms:
Ho: 0.0000 0.0000 0.2275
Ho: 0.0000 0.0000 0.7725
Zr: 0.5000 0.5000 0.5000
Zn: 0.5000 0.5000 0.0000

---

No. 8
Th4Ga16Fe3 | PBE | optimized geometry

Results
- formation energy from the elements (eV/atom) = -0.422

Lattice parameters (Å, degrees): 6.1812 6.1812 11.3794 90.00 90.00 90.00
Fractional coordinates of all 23 atoms:
Th: 0.0000 0.5000 0.1985
Th: 0.0000 0.5000 0.8015
Th: 0.5000 0.0000 0.1985
Th: 0.5000 0.0000 0.8015
Ga: 0.0000 0.0000 0.1952
Ga: 0.0000 0.0000 0.8048
Ga: 0.2167 0.2167 0.0000
Ga: 0.2167 0.7833 0.0000
Ga: 0.2515 0.2515 0.3896
Ga: 0.2515 0.2515 0.6104
Ga: 0.2515 0.7485 0.3896
Ga: 0.2515 0.7485 0.6104
Ga: 0.5000 0.5000 0.2218
Ga: 0.5000 0.5000 0.7782
Ga: 0.7485 0.2515 0.3896
Ga: 0.7485 0.2515 0.6104
Ga: 0.7485 0.7485 0.3896
Ga: 0.7485 0.7485 0.6104
Ga: 0.7833 0.2167 0.0000
Ga: 0.7833 0.7833 0.0000
Fe: 0.0000 0.5000 0.5000
Fe: 0.5000 0.0000 0.5000
Fe: 0.5000 0.5000 0.0000

---

Across the entries above, volume takes the values 226.8; 65.9; 605.2; 514.5; 110.3; 140.3; 98.4; 434.8 Å³ per cell, respectively.